A plane-wave DFT calculation with SCAN was carried out for CoTeS2N at its PBEsol-relaxed geometry.

Cell lengths 4.683, 4.683, 3.409 Å; angles 90.00, 90.00, 90.00 degrees
Atoms (fractional coordinates):
1 Co 0.000 0.000 0.000
2 Te 0.500 0.500 0.500
3 S 0.000 0.500 0.000
4 S 0.500 0.000 0.000
5 N 0.000 0.000 0.500

Summary:
Electronic total energy (eV/cell): -80.86



A plane-wave DFT calculation with SCAN was carried out for Cu2PbSe3O9 at its PBEsol-relaxed geometry.

Cell lengths 7.743, 9.142, 12.483 Å; angles 82.70, 72.97, 89.81 degrees
Atoms (fractional coordinates):
1 Cu 0.056 0.066 0.297
2 Cu 0.120 0.673 0.303
3 Cu 0.277 0.672 0.037
4 Cu 0.334 0.258 0.989
5 Cu 0.666 0.742 0.011
6 Cu 0.723 0.328 0.963
7 Cu 0.880 0.327 0.697
8 Cu 0.944 0.934 0.703
9 Pb 0.378 0.843 0.652
10 Pb 0.445 0.357 0.657
11 Pb 0.555 0.643 0.343
12 Pb 0.622 0.157 0.348
13 Se 0.052 0.124 0.873
14 Se 0.069 0.618 0.871
15 Se 0.134 0.594 0.555
16 Se 0.172 0.129 0.507
17 Se 0.370 0.397 0.199
18 Se 0.415 0.953 0.172
19 Se 0.585 0.047 0.828
20 Se 0.630 0.603 0.801
21 Se 0.828 0.871 0.493
22 Se 0.866 0.406 0.445
23 Se 0.931 0.382 0.129
24 Se 0.948 0.876 0.127
25 O 0.063 0.721 0.747
26 O 0.070 0.722 0.160
27 O 0.118 0.062 0.744
28 O 0.122 0.422 0.634
29 O 0.131 0.938 0.557
30 O 0.152 0.753 0.931
31 O 0.159 0.401 0.050
32 O 0.193 0.544 0.417
33 O 0.228 0.047 0.153
34 O 0.243 0.127 0.362
35 O 0.256 0.212 0.861
36 O 0.317 0.818 0.287
37 O 0.352 0.643 0.548
38 O 0.379 0.153 0.527
39 O 0.380 0.584 0.156
40 O 0.454 0.860 0.057
41 O 0.460 0.602 0.738
42 O 0.485 0.322 0.077
43 O 0.515 0.678 0.923
44 O 0.540 0.398 0.262
45 O 0.546 0.140 0.943
46 O 0.620 0.416 0.844
47 O 0.621 0.847 0.473
48 O 0.648 0.357 0.452
49 O 0.683 0.182 0.713
50 O 0.744 0.788 0.139
51 O 0.757 0.873 0.638
52 O 0.772 0.953 0.847
53 O 0.807 0.456 0.583
54 O 0.841 0.599 0.950
55 O 0.848 0.247 0.069
56 O 0.869 0.062 0.443
57 O 0.878 0.578 0.366
58 O 0.882 0.938 0.256
59 O 0.930 0.278 0.840
60 O 0.937 0.279 0.253

Summary:
Electronic total energy (eV/cell): -946.64



A plane-wave DFT calculation with SCAN was carried out for Zn2In2Se5 at its PBEsol-relaxed geometry.

Cell lengths 16.136, 16.136, 16.136 Å; angles 14.33, 14.33, 14.33 degrees
Atoms (fractional coordinates):
1 Zn 0.000 0.000 0.000
2 Zn 0.170 0.170 0.170
3 In 0.406 0.406 0.406
4 In 0.585 0.585 0.585
5 Se 0.097 0.097 0.097
6 Se 0.223 0.223 0.223
7 Se 0.352 0.352 0.352
8 Se 0.488 0.488 0.488
9 Se 0.951 0.951 0.951

Summary:
Electronic total energy (eV/cell): -199.83



A plane-wave DFT calculation with SCAN was carried out for Nb2ZnCo2 at its PBEsol-relaxed geometry.

Cell lengths 6.811, 6.811, 3.014 Å; angles 90.00, 90.00, 90.00 degrees
Atoms (fractional coordinates):
1 Nb 0.174 0.326 0.000
2 Nb 0.326 0.826 0.000
3 Nb 0.674 0.174 0.000
4 Nb 0.826 0.674 0.000
5 Zn 0.000 0.000 0.500
6 Zn 0.500 0.500 0.500
7 Co 0.128 0.628 0.500
8 Co 0.372 0.128 0.500
9 Co 0.628 0.872 0.500
10 Co 0.872 0.372 0.500

Summary:
Energy of formation (eV/atom): -0.078



A plane-wave DFT calculation with SCAN was carried out for MnCoCu2 at its PBEsol-relaxed geometry.

Cell lengths 4.024, 4.024, 4.024 Å; angles 60.00, 60.00, 60.00 degrees
Atoms (fractional coordinates):
1 Mn 0.000 0.000 0.000
2 Co 0.500 0.500 0.500
3 Cu 0.250 0.250 0.250
4 Cu 0.750 0.750 0.750

Summary:
Energy of formation (eV/atom): 0.074



A plane-wave DFT calculation with SCAN was carried out for Mg2AlZn at its PBEsol-relaxed geometry.

Cell lengths 3.128, 3.967, 5.983 Å; angles 90.00, 90.00, 90.00 degrees
Atoms (fractional coordinates):
1 Mg 0.000 0.000 0.000
2 Mg 0.500 0.500 0.281
3 Al 0.500 0.500 0.750
4 Zn 0.000 0.000 0.526

Summary:
Energy of formation (eV/atom): 0.012



A plane-wave DFT calculation with SCAN was carried out for CuTc2Sb at its PBEsol-relaxed geometry.

Cell lengths 5.098, 5.098, 5.098 Å; angles 143.76, 128.78, 64.35 degrees
Atoms (fractional coordinates):
1 Cu 0.000 0.000 0.000
2 Tc 0.256 0.756 0.500
3 Tc 0.744 0.244 0.500
4 Sb 0.500 0.500 0.000

Summary:
Electronic total energy (eV/cell): -120.89



A plane-wave DFT calculation with SCAN was carried out for BaTeMo2O9 at its PBEsol-relaxed geometry.

Cell lengths 5.496, 7.447, 8.806 Å; angles 90.00, 90.62, 90.00 degrees
Atoms (fractional coordinates):
1 Ba 0.228 0.000 0.434
2 Ba 0.772 0.500 0.566
3 Te 0.126 0.738 0.918
4 Te 0.874 0.238 0.082
5 Mo 0.278 0.476 0.269
6 Mo 0.283 0.297 0.825
7 Mo 0.717 0.797 0.175
8 Mo 0.722 0.976 0.731
9 O 0.010 0.856 0.698
10 O 0.038 0.517 0.828
11 O 0.052 0.657 0.129
12 O 0.208 0.319 0.057
13 O 0.211 0.279 0.632
14 O 0.276 0.627 0.419
15 O 0.467 0.092 0.857
16 O 0.481 0.313 0.334
17 O 0.484 0.952 0.169
18 O 0.516 0.452 0.831
19 O 0.519 0.813 0.666
20 O 0.533 0.592 0.143
21 O 0.724 0.127 0.581
22 O 0.789 0.779 0.368
23 O 0.792 0.819 0.943
24 O 0.948 0.157 0.871
25 O 0.962 0.017 0.172
26 O 0.990 0.356 0.302

Summary:
Electronic total energy (eV/cell): -461.60



A plane-wave DFT calculation with SCAN was carried out for LiCoPO4 at its PBEsol-relaxed geometry.

Cell lengths 8.443, 8.443, 8.443 Å; angles 107.84, 107.84, 107.84 degrees
Atoms (fractional coordinates):
1 Li 0.013 0.797 0.191
2 Li 0.191 0.013 0.797
3 Li 0.308 0.476 0.707
4 Li 0.476 0.707 0.308
5 Li 0.707 0.308 0.476
6 Li 0.797 0.191 0.013
7 Co 0.043 0.633 0.816
8 Co 0.117 0.531 0.353
9 Co 0.353 0.117 0.531
10 Co 0.531 0.353 0.117
11 Co 0.633 0.816 0.043
12 Co 0.816 0.043 0.633
13 P 0.153 0.376 0.971
14 P 0.376 0.971 0.153
15 P 0.458 0.865 0.681
16 P 0.681 0.458 0.865
17 P 0.865 0.681 0.458
18 P 0.971 0.153 0.376
19 O 0.173 0.487 0.856
20 O 0.176 0.222 0.511
21 O 0.222 0.511 0.176
22 O 0.232 0.889 0.949
23 O 0.271 0.957 0.274
24 O 0.274 0.271 0.957
25 O 0.323 0.657 0.604
26 O 0.348 0.982 0.678
27 O 0.487 0.856 0.173
28 O 0.511 0.176 0.222
29 O 0.557 0.558 0.888
30 O 0.558 0.888 0.557
31 O 0.604 0.323 0.657
32 O 0.606 0.936 0.881
33 O 0.657 0.604 0.323
34 O 0.678 0.348 0.982
35 O 0.856 0.173 0.487
36 O 0.881 0.606 0.936
37 O 0.888 0.557 0.558
38 O 0.889 0.949 0.232
39 O 0.936 0.881 0.606
40 O 0.949 0.232 0.889
41 O 0.957 0.274 0.271
42 O 0.982 0.678 0.348

Summary:
Electronic total energy (eV/cell): -423.67



A plane-wave DFT calculation with SCAN was carried out for TlCuRu2 at its PBEsol-relaxed geometry.

Cell lengths 3.864, 3.864, 4.030 Å; angles 90.00, 90.00, 90.00 degrees
Atoms (fractional coordinates):
1 Tl 0.000 0.000 0.000
2 Cu 0.500 0.500 0.000
3 Ru 0.000 0.500 0.500
4 Ru 0.500 0.000 0.500

Summary:
Energy of formation (eV/atom): 0.591



A plane-wave DFT calculation with SCAN was carried out for LaMoPb2 at its PBEsol-relaxed geometry.

Cell lengths 3.235, 4.802, 6.400 Å; angles 90.00, 102.42, 90.00 degrees
Atoms (fractional coordinates):
1 La 0.000 0.000 0.000
2 Mo 0.500 0.000 0.500
3 Pb 0.343 0.500 0.725
4 Pb 0.657 0.500 0.275

Summary:
Energy of formation (eV/atom): 0.189



A plane-wave DFT calculation with SCAN was carried out for AgSe at its PBEsol-relaxed geometry.

Cell lengths 4.029, 4.029, 5.742 Å; angles 90.00, 90.00, 120.00 degrees
Atoms (fractional coordinates):
1 Ag 0.000 0.000 0.000
2 Ag 0.000 0.000 0.500
3 Se 0.333 0.667 0.250
4 Se 0.667 0.333 0.750

Summary:
Electronic total energy (eV/cell): -102.81